(1)
# GGA-PBE Co2OsRh, relaxed
# ΔE to the lowest computed polymorph: 0.2443 eV/atom
# magnetization: 3.93 μB per formula unit
# formation energy from the elements: 0.36 eV/atom
# calculated total energy: -7.843 eV/atom
data_Co2OsRh
_chemical_formula_sum 'Co2 Os1 Rh1'
_symmetry_space_group_name_H-M 'P 1'
_symmetry_Int_Tables_number 1
_cell_length_a 2.6202
_cell_length_b 2.6202
_cell_length_c 8.6886
_cell_angle_alpha 90.00
_cell_angle_beta 90.00
_cell_angle_gamma 117.89
loop_
_symmetry_equiv_pos_as_xyz
'x,y,z'
loop_
_atom_site_label
_atom_site_fract_x
_atom_site_fract_y
_atom_site_fract_z
_atom_site_occupancy
Co1 0.0000 0.0000 0.0000 1
Co2 0.5000 0.5000 0.2280 1
Os1 0.5000 0.5000 0.7506 1
Rh1 0.0000 0.0000 0.4801 1

(2)
# GGA-PBE Ac12Co5Rh, relaxed
# magnetization: 0.00 μB per formula unit
# formation energy from the elements: -0.12 eV/atom
# calculated total energy: -5.242 eV/atom
data_Ac12Co5Rh
_chemical_formula_sum 'Ac12 Co5 Rh1'
_symmetry_space_group_name_H-M 'P 1'
_symmetry_Int_Tables_number 1
_cell_length_a 7.3808
_cell_length_b 7.3808
_cell_length_c 13.7465
_cell_angle_alpha 95.15
_cell_angle_beta 95.15
_cell_angle_gamma 120.00
loop_
_symmetry_equiv_pos_as_xyz
'x,y,z'
loop_
_atom_site_label
_atom_site_fract_x
_atom_site_fract_y
_atom_site_fract_z
_atom_site_occupancy
Ac1 0.0376 0.3706 0.1123 1
Ac2 0.1199 0.1199 0.3845 1
Ac3 0.1974 0.5387 0.6156 1
Ac4 0.2963 0.2963 0.8875 1
Ac5 0.3706 0.0376 0.1123 1
Ac6 0.4613 0.8026 0.3844 1
Ac7 0.5387 0.1974 0.6156 1
Ac8 0.6294 0.9624 0.8877 1
Ac9 0.7037 0.7037 0.1125 1
Ac10 0.8026 0.4613 0.3844 1
Ac11 0.8801 0.8801 0.6155 1
Ac12 0.9624 0.6294 0.8877 1
Co1 0.0000 0.0000 0.0000 1
Co2 0.1667 0.8333 0.5000 1
Co3 0.3334 0.6666 0.0000 1
Co4 0.6666 0.3334 0.0000 1
Co5 0.8333 0.1667 0.5000 1
Rh1 0.5000 0.5000 0.5000 1

(3)
# GGA-PBE BSeO2F, relaxed
# magnetization: 0.00 μB per formula unit
# energy relative to the elements, uncorrected: 0.382 eV/atom
# calculated total energy: -4.008 eV/atom
data_BSeO2F
_chemical_formula_sum 'B1 Se1 O2 F1'
_symmetry_space_group_name_H-M 'P 1'
_symmetry_Int_Tables_number 1
_cell_length_a 3.8971
_cell_length_b 3.8971
_cell_length_c 4.2454
_cell_angle_alpha 90.00
_cell_angle_beta 90.00
_cell_angle_gamma 90.00
loop_
_symmetry_equiv_pos_as_xyz
'x,y,z'
loop_
_atom_site_label
_atom_site_fract_x
_atom_site_fract_y
_atom_site_fract_z
_atom_site_occupancy
B1 0.0000 0.0000 0.0000 1
Se1 0.5000 0.5000 0.5000 1
O1 0.0000 0.5000 0.5000 1
O2 0.5000 0.0000 0.5000 1
F1 0.5000 0.5000 0.0000 1

(4)
# GGA-PBE CaPuMgGa, relaxed
# magnetization: 5.60 μB per formula unit
# formation energy from the elements: -0.08 eV/atom
# calculated total energy: -5.323 eV/atom
data_CaPuMgGa
_chemical_formula_sum 'Ca1 Pu1 Mg1 Ga1'
_symmetry_space_group_name_H-M 'P 1'
_symmetry_Int_Tables_number 1
_cell_length_a 5.2638
_cell_length_b 5.2638
_cell_length_c 5.2638
_cell_angle_alpha 60.00
_cell_angle_beta 60.00
_cell_angle_gamma 60.00
loop_
_symmetry_equiv_pos_as_xyz
'x,y,z'
loop_
_atom_site_label
_atom_site_fract_x
_atom_site_fract_y
_atom_site_fract_z
_atom_site_occupancy
Ca1 0.0000 0.0000 0.0000 1
Pu1 0.5000 0.5000 0.5000 1
Mg1 0.2500 0.2500 0.2500 1
Ga1 0.7500 0.7500 0.7500 1

(5)
# GGA-PBE Tb2NdEr3Tm6, relaxed
# magnetization: 0.00 μB per formula unit
# formation energy from the elements: 0.02 eV/atom
# calculated total energy: -4.522 eV/atom
data_Tb2NdEr3Tm6
_chemical_formula_sum 'Tb2 Nd1 Er3 Tm6'
_symmetry_space_group_name_H-M 'P 1'
_symmetry_Int_Tables_number 1
_cell_length_a 6.0962
_cell_length_b 6.0962
_cell_length_c 11.6436
_cell_angle_alpha 95.00
_cell_angle_beta 95.00
_cell_angle_gamma 119.94
loop_
_symmetry_equiv_pos_as_xyz
'x,y,z'
loop_
_atom_site_label
_atom_site_fract_x
_atom_site_fract_y
_atom_site_fract_z
_atom_site_occupancy
Tb1 0.1666 0.8334 0.0000 1
Tb2 0.8334 0.1666 0.0000 1
Nd1 0.5000 0.5000 0.0000 1
Er1 0.0000 0.0000 0.5000 1
Er2 0.3332 0.6668 0.5000 1
Er3 0.6668 0.3332 0.5000 1
Tm1 0.0812 0.4150 0.7475 1
Tm2 0.2511 0.2511 0.2525 1
Tm3 0.4150 0.0812 0.7475 1
Tm4 0.5850 0.9188 0.2525 1
Tm5 0.7489 0.7489 0.7475 1
Tm6 0.9188 0.5850 0.2525 1

(6)
# GGA-PBE Tc2PbAu, relaxed
# magnetization: 0.00 μB per formula unit
# formation energy from the elements: 0.70 eV/atom
# calculated total energy: -6.229 eV/atom
data_Tc2PbAu
_chemical_formula_sum 'Tc2 Pb1 Au1'
_symmetry_space_group_name_H-M 'P 1'
_symmetry_Int_Tables_number 1
_cell_length_a 3.2908
_cell_length_b 3.2908
_cell_length_c 6.5003
_cell_angle_alpha 90.00
_cell_angle_beta 90.00
_cell_angle_gamma 90.00
loop_
_symmetry_equiv_pos_as_xyz
'x,y,z'
loop_
_atom_site_label
_atom_site_fract_x
_atom_site_fract_y
_atom_site_fract_z
_atom_site_occupancy
Tc1 0.0000 0.0000 0.2278 1
Tc2 0.0000 0.0000 0.7722 1
Pb1 0.5000 0.5000 0.5000 1
Au1 0.5000 0.5000 0.0000 1

(7)
# GGA-PBE LaPrNd2Ho4, relaxed
# magnetization: 0.00 μB per formula unit
# formation energy from the elements: 0.01 eV/atom
# calculated total energy: -4.680 eV/atom
data_LaPrNd2Ho4
_chemical_formula_sum 'La2 Pr2 Nd4 Ho8'
_symmetry_space_group_name_H-M 'P 1'
_symmetry_Int_Tables_number 1
_cell_length_a 7.2480
_cell_length_b 7.2480
_cell_length_c 12.4243
_cell_angle_alpha 106.97
_cell_angle_beta 106.97
_cell_angle_gamma 60.01
loop_
_symmetry_equiv_pos_as_xyz
'x,y,z'
loop_
_atom_site_label
_atom_site_fract_x
_atom_site_fract_y
_atom_site_fract_z
_atom_site_occupancy
La1 0.0000 0.5000 0.0000 1
La2 0.5000 0.0000 0.0000 1
Pr1 0.0000 0.0000 0.0000 1
Pr2 0.0000 0.0000 0.5000 1
Nd1 0.0000 0.5000 0.5000 1
Nd2 0.5000 0.0000 0.5000 1
Nd3 0.5000 0.5000 0.0000 1
Nd4 0.5000 0.5000 0.5000 1
Ho1 0.2505 0.2505 0.2514 1
Ho2 0.2497 0.2497 0.7486 1
Ho3 0.2498 0.7492 0.7489 1
Ho4 0.2508 0.7502 0.2511 1
Ho5 0.7492 0.2498 0.7489 1
Ho6 0.7502 0.2508 0.2511 1
Ho7 0.7503 0.7503 0.2514 1
Ho8 0.7495 0.7495 0.7486 1

(8)
# GGA-PBE TmBeH8Ir2, relaxed
# magnetization: 0.00 μB per formula unit
# calculated total energy: -4.578 eV/atom
data_TmBeH8Ir2
_chemical_formula_sum 'Tm1 Be1 H8 Ir2'
_symmetry_space_group_name_H-M 'P 1'
_symmetry_Int_Tables_number 1
_cell_length_a 4.3215
_cell_length_b 4.3215
_cell_length_c 6.3038
_cell_angle_alpha 110.29
_cell_angle_beta 110.29
_cell_angle_gamma 56.73
loop_
_symmetry_equiv_pos_as_xyz
'x,y,z'
loop_
_atom_site_label
_atom_site_fract_x
_atom_site_fract_y
_atom_site_fract_z
_atom_site_occupancy
Tm1 0.0000 0.0000 0.0000 1
Be1 0.5000 0.5000 0.5000 1
H1 0.1010 0.5716 0.1843 1
H2 0.2376 0.2376 0.3857 1
H3 0.4284 0.8990 0.8157 1
H4 0.4399 0.4399 0.8206 1
H5 0.5601 0.5601 0.1794 1
H6 0.5716 0.1010 0.1843 1
H7 0.7624 0.7624 0.6143 1
H8 0.8990 0.4284 0.8157 1
Ir1 0.2049 0.2049 0.6401 1
Ir2 0.7951 0.7951 0.3599 1

(9)
# GGA-PBE Ca2Ga3BiPd4, relaxed
# magnetization: 0.00 μB per formula unit
# formation energy from the elements: -0.65 eV/atom
# calculated total energy: -4.425 eV/atom
data_Ca2Ga3BiPd4
_chemical_formula_sum 'Ca2 Ga3 Bi1 Pd4'
_symmetry_space_group_name_H-M 'P 1'
_symmetry_Int_Tables_number 1
_cell_length_a 4.4567
_cell_length_b 4.4567
_cell_length_c 10.5101
_cell_angle_alpha 90.00
_cell_angle_beta 90.00
_cell_angle_gamma 90.00
loop_
_symmetry_equiv_pos_as_xyz
'x,y,z'
loop_
_atom_site_label
_atom_site_fract_x
_atom_site_fract_y
_atom_site_fract_z
_atom_site_occupancy
Ca1 0.0000 0.5000 0.2343 1
Ca2 0.5000 0.0000 0.7657 1
Ga1 0.0000 0.5000 0.8861 1
Ga2 0.5000 0.0000 0.1139 1
Ga3 0.5000 0.5000 0.5000 1
Bi1 0.0000 0.0000 0.5000 1
Pd1 0.0000 0.0000 0.0000 1
Pd2 0.0000 0.5000 0.6524 1
Pd3 0.5000 0.0000 0.3476 1
Pd4 0.5000 0.5000 0.0000 1

(10)
# GGA-PBE Pu3Tl2Pb, relaxed
# magnetization: 17.21 μB per formula unit
# formation energy from the elements: -0.07 eV/atom
# calculated total energy: -8.639 eV/atom
data_Pu3Tl2Pb
_chemical_formula_sum 'Pu3 Tl2 Pb1'
_symmetry_space_group_name_H-M 'P 1'
_symmetry_Int_Tables_number 1
_cell_length_a 3.3731
_cell_length_b 3.3731
_cell_length_c 14.2990
_cell_angle_alpha 90.00
_cell_angle_beta 90.00
_cell_angle_gamma 90.00
loop_
_symmetry_equiv_pos_as_xyz
'x,y,z'
loop_
_atom_site_label
_atom_site_fract_x
_atom_site_fract_y
_atom_site_fract_z
_atom_site_occupancy
Pu1 0.0000 0.0000 0.0000 1
Pu2 0.0000 0.0000 0.3334 1
Pu3 0.0000 0.0000 0.6666 1
Tl1 0.5000 0.5000 0.1671 1
Tl2 0.5000 0.5000 0.8329 1
Pb1 0.5000 0.5000 0.5000 1

(11)
# GGA-PBE KTlH2, relaxed
# ΔE to the lowest computed polymorph: 0.0066 eV/atom
# magnetization: 0.00 μB per formula unit
# calculated total energy: -2.406 eV/atom
data_KTlH2
_chemical_formula_sum 'K2 Tl2 H4'
_symmetry_space_group_name_H-M 'P 1'
_symmetry_Int_Tables_number 1
_cell_length_a 7.2912
_cell_length_b 7.2912
_cell_length_c 7.2912
_cell_angle_alpha 134.76
_cell_angle_beta 134.76
_cell_angle_gamma 65.90
loop_
_symmetry_equiv_pos_as_xyz
'x,y,z'
loop_
_atom_site_label
_atom_site_fract_x
_atom_site_fract_y
_atom_site_fract_z
_atom_site_occupancy
K1 0.0000 0.0000 0.0000 1
K2 0.7500 0.2500 0.5000 1
Tl1 0.2500 0.7500 0.5000 1
Tl2 0.5000 0.5000 0.0000 1
H1 0.1616 0.6250 0.0366 1
H2 0.3750 0.4116 0.5366 1
H3 0.5884 0.1250 0.9634 1
H4 0.8750 0.8384 0.4634 1

(12)
# GGA-PBE RbScSb2I, relaxed
# ΔE to the lowest computed polymorph: 0.0000 eV/atom
# magnetization: 0.00 μB per formula unit
# energy relative to the elements, uncorrected: -0.484 eV/atom
# calculated total energy: -3.903 eV/atom
data_RbScSb2I
_chemical_formula_sum 'Rb1 Sc1 Sb2 I1'
_symmetry_space_group_name_H-M 'P 1'
_symmetry_Int_Tables_number 1
_cell_length_a 5.5586
_cell_length_b 5.5586
_cell_length_c 6.2298
_cell_angle_alpha 90.00
_cell_angle_beta 90.00
_cell_angle_gamma 90.00
loop_
_symmetry_equiv_pos_as_xyz
'x,y,z'
loop_
_atom_site_label
_atom_site_fract_x
_atom_site_fract_y
_atom_site_fract_z
_atom_site_occupancy
Rb1 0.0000 0.0000 0.0000 1
Sc1 0.5000 0.5000 0.5000 1
Sb1 0.0000 0.5000 0.5000 1
Sb2 0.5000 0.0000 0.5000 1
I1 0.5000 0.5000 0.0000 1

(13)
# GGA-PBE CaHgGe3, relaxed
# ΔE to the lowest computed polymorph: 0.0000 eV/atom
# magnetization: 0.00 μB per formula unit
# formation energy from the elements: 0.43 eV/atom
# calculated total energy: -2.797 eV/atom
data_CaHgGe3
_chemical_formula_sum 'Ca1 Hg1 Ge3'
_symmetry_space_group_name_H-M 'P 1'
_symmetry_Int_Tables_number 1
_cell_length_a 5.2694
_cell_length_b 5.2694
_cell_length_c 5.2694
_cell_angle_alpha 90.00
_cell_angle_beta 90.00
_cell_angle_gamma 90.00
loop_
_symmetry_equiv_pos_as_xyz
'x,y,z'
loop_
_atom_site_label
_atom_site_fract_x
_atom_site_fract_y
_atom_site_fract_z
_atom_site_occupancy
Ca1 0.0000 0.0000 0.0000 1
Hg1 0.5000 0.5000 0.5000 1
Ge1 0.0000 0.5000 0.5000 1
Ge2 0.5000 0.0000 0.5000 1
Ge3 0.5000 0.5000 0.0000 1

(14)
# GGA-PBE PrSO4F2, relaxed
# magnetization: 1.01 μB per formula unit
# energy relative to the elements, uncorrected: -1.894 eV/atom
# calculated total energy: -5.954 eV/atom
data_PrSO4F2
_chemical_formula_sum 'Pr1 S1 O4 F2'
_symmetry_space_group_name_H-M 'P 1'
_symmetry_Int_Tables_number 1
_cell_length_a 5.6307
_cell_length_b 5.6307
_cell_length_c 5.6307
_cell_angle_alpha 103.05
_cell_angle_beta 103.05
_cell_angle_gamma 123.26
loop_
_symmetry_equiv_pos_as_xyz
'x,y,z'
loop_
_atom_site_label
_atom_site_fract_x
_atom_site_fract_y
_atom_site_fract_z
_atom_site_occupancy
Pr1 0.0000 0.0000 0.0000 1
S1 0.2500 0.7500 0.5000 1
O1 0.0671 0.4257 0.2907 1
O2 0.1350 0.7764 0.7093 1
O3 0.2236 0.9329 0.3586 1
O4 0.5743 0.8650 0.6414 1
F1 0.5000 0.5000 0.0000 1
F2 0.7500 0.2500 0.5000 1

(15)
# GGA-PBE Si3Br, relaxed
# ΔE to the lowest computed polymorph: 0.3694 eV/atom
# magnetization: 0.00 μB per formula unit
# energy relative to the elements, uncorrected: 0.628 eV/atom
# calculated total energy: -3.858 eV/atom
data_Si3Br
_chemical_formula_sum 'Si6 Br2'
_symmetry_space_group_name_H-M 'P 1'
_symmetry_Int_Tables_number 1
_cell_length_a 5.3789
_cell_length_b 5.3789
_cell_length_c 5.1640
_cell_angle_alpha 90.00
_cell_angle_beta 90.00
_cell_angle_gamma 104.88
loop_
_symmetry_equiv_pos_as_xyz
'x,y,z'
loop_
_atom_site_label
_atom_site_fract_x
_atom_site_fract_y
_atom_site_fract_z
_atom_site_occupancy
Si1 0.0952 0.2872 0.7500 1
Si2 0.1793 0.8207 0.7500 1
Si3 0.2872 0.0952 0.2500 1
Si4 0.7128 0.9048 0.7500 1
Si5 0.8207 0.1793 0.2500 1
Si6 0.9048 0.7128 0.2500 1
Br1 0.4022 0.5978 0.2500 1
Br2 0.5978 0.4022 0.7500 1

(16)
# GGA-PBE LiAs2Ru, relaxed
# magnetization: 0.00 μB per formula unit
# formation energy from the elements: -0.03 eV/atom
# calculated total energy: -5.151 eV/atom
data_LiAs2Ru
_chemical_formula_sum 'Li2 As4 Ru2'
_symmetry_space_group_name_H-M 'P 1'
_symmetry_Int_Tables_number 1
_cell_length_a 6.7461
_cell_length_b 6.7461
_cell_length_c 6.7461
_cell_angle_alpha 126.97
_cell_angle_beta 126.97
_cell_angle_gamma 78.30
loop_
_symmetry_equiv_pos_as_xyz
'x,y,z'
loop_
_atom_site_label
_atom_site_fract_x
_atom_site_fract_y
_atom_site_fract_z
_atom_site_occupancy
Li1 0.0000 0.0000 0.0000 1
Li2 0.7500 0.2500 0.5000 1
As1 0.1731 0.6250 0.0481 1
As2 0.3750 0.4231 0.5481 1
As3 0.5769 0.1250 0.9519 1
As4 0.8750 0.8269 0.4519 1
Ru1 0.2500 0.7500 0.5000 1
Ru2 0.5000 0.5000 0.0000 1

(17)
# GGA-PBE InTcOs2, relaxed
# magnetization: 0.00 μB per formula unit
# formation energy from the elements: 0.68 eV/atom
# calculated total energy: -8.215 eV/atom
data_InTcOs2
_chemical_formula_sum 'In1 Tc1 Os2'
_symmetry_space_group_name_H-M 'P 1'
_symmetry_Int_Tables_number 1
_cell_length_a 5.3156
_cell_length_b 5.3156
_cell_length_c 2.8052
_cell_angle_alpha 102.72
_cell_angle_beta 102.72
_cell_angle_gamma 117.75
loop_
_symmetry_equiv_pos_as_xyz
'x,y,z'
loop_
_atom_site_label
_atom_site_fract_x
_atom_site_fract_y
_atom_site_fract_z
_atom_site_occupancy
In1 0.0000 0.0000 0.0000 1
Tc1 0.5000 0.5000 0.0000 1
Os1 0.0000 0.5000 0.5000 1
Os2 0.5000 0.0000 0.5000 1

(18)
# GGA-PBE Ce3NdP4, relaxed
# magnetization: 1.73 μB per formula unit
# formation energy from the elements: -1.51 eV/atom
# calculated total energy: -7.036 eV/atom
data_Ce3NdP4
_chemical_formula_sum 'Ce3 Nd1 P4'
_symmetry_space_group_name_H-M 'P 1'
_symmetry_Int_Tables_number 1
_cell_length_a 7.1185
_cell_length_b 7.1185
_cell_length_c 4.1103
_cell_angle_alpha 90.00
_cell_angle_beta 90.00
_cell_angle_gamma 109.47
loop_
_symmetry_equiv_pos_as_xyz
'x,y,z'
loop_
_atom_site_label
_atom_site_fract_x
_atom_site_fract_y
_atom_site_fract_z
_atom_site_occupancy
Ce1 0.0000 0.0000 0.0000 1
Ce2 0.0000 0.5000 0.5000 1
Ce3 0.5000 0.0000 0.5000 1
Nd1 0.5000 0.5000 0.0000 1
P1 0.2448 0.2448 0.5000 1
P2 0.2477 0.7523 0.0000 1
P3 0.7523 0.2477 0.0000 1
P4 0.7552 0.7552 0.5000 1

(19)
# GGA-PBE Nd2HoSc6, relaxed
# magnetization: 0.00 μB per formula unit
# formation energy from the elements: 0.07 eV/atom
# calculated total energy: -5.714 eV/atom
data_Nd2HoSc6
_chemical_formula_sum 'Nd2 Ho1 Sc6'
_symmetry_space_group_name_H-M 'P 1'
_symmetry_Int_Tables_number 1
_cell_length_a 9.2861
_cell_length_b 9.2861
_cell_length_c 3.3010
_cell_angle_alpha 90.00
_cell_angle_beta 90.00
_cell_angle_gamma 120.00
loop_
_symmetry_equiv_pos_as_xyz
'x,y,z'
loop_
_atom_site_label
_atom_site_fract_x
_atom_site_fract_y
_atom_site_fract_z
_atom_site_occupancy
Nd1 0.3333 0.6667 0.0000 1
Nd2 0.6667 0.3333 0.0000 1
Ho1 0.0000 0.0000 0.0000 1
Sc1 0.0000 0.3308 0.5000 1
Sc2 0.0000 0.6692 0.5000 1
Sc3 0.3308 0.0000 0.5000 1
Sc4 0.3308 0.3308 0.5000 1
Sc5 0.6692 0.0000 0.5000 1
Sc6 0.6692 0.6692 0.5000 1